Li2Ce2Si: optimized geometry, PBE-GGA.

Crystal system: tetragonal

abc: 3.7700 3.7700 9.2575
angles: 101.75 101.75 90.00
With the nearest neighbours (Å) after each atom.
Element x y z (fractional)
Li 0.7500 0.2500 0.5000  4 Li 2.67
Li 0.2500 0.7500 0.5000  4 Li 2.67
Ce 0.4216 0.4216 0.8432  1 Ce 2.78, 4 Si 3.01
Ce 0.5784 0.5784 0.1568  1 Ce 2.78, 4 Si 3.01
Si 0.0000 0.0000 0.0000  8 Ce 3.01


Li2Ce2Si3: optimized geometry, PBE-GGA.

Crystal system: orthorhombic

abc: 9.4169 9.4169 6.7143
angles: 90.00 90.00 153.03
With the nearest neighbours (Å) after each atom.
Element x y z (fractional)
Li 0.8112 0.1888 0.5612  1 Li 2.53, 4 Si 2.54-2.67
Li 0.1888 0.8112 0.4388  1 Li 2.53, 4 Si 2.54-2.67
Li 0.1888 0.8112 0.0612  1 Li 2.53, 4 Si 2.54-2.67
Li 0.8112 0.1888 0.9388  1 Li 2.53, 4 Si 2.54-2.67
Ce 0.5505 0.4495 0.2500  9 Si 3.09-3.20
Ce 0.4495 0.5505 0.7500  9 Si 3.09-3.20
Ce 0.3434 0.6566 0.2500  6 Si 3.07-3.15, 6 Li 3.09-3.10
Ce 0.6566 0.3434 0.7500  6 Si 3.07-3.15, 6 Li 3.09-3.10
Si 0.9410 0.0590 0.0725  2 Si 2.37-2.38, 1 Li 2.54
Si 0.0590 0.9410 0.9275  2 Si 2.37-2.38, 1 Li 2.54
Si 0.0590 0.9410 0.5725  2 Si 2.37-2.38, 1 Li 2.54
Si 0.9410 0.0590 0.4275  2 Si 2.37-2.38, 1 Li 2.54
Si 0.7202 0.2798 0.2500  6 Li 2.60-2.67
Si 0.2798 0.7202 0.7500  6 Li 2.60-2.67


LiCe2Si: optimized geometry, PBE-GGA.

Crystal system: trigonal

abc: 3.0411 3.0411 11.5080
angles: 82.41 82.41 60.00
With the nearest neighbours (Å) after each atom.
Element x y z (fractional)
Si 0.5000 0.5000 0.5000  6 Si 3.04, 6 Ce 3.06
Ce 0.0932 0.0932 0.7204  6 Ce 3.04, 3 Si 3.06, 1 Li 3.18
Ce 0.9068 0.9068 0.2796  6 Ce 3.04, 3 Si 3.06, 1 Li 3.18
Li 0.0000 0.0000 0.0000  6 Li 3.04, 2 Ce 3.18


Li3Ce4Si4: optimized geometry, PBE-GGA.

Crystal system: orthorhombic

abc: 4.1858 8.8275 8.3438
angles: 121.94 104.53 90.00
With the nearest neighbours (Å) after each atom.
Element x y z (fractional)
Li 0.1005 0.1005 0.2011  6 Si 2.64-2.75, 1 Li 2.72
Li 0.8995 0.8995 0.7989  6 Si 2.64-2.75, 1 Li 2.72
Li 0.0000 0.5000 0.0000  8 Ce 3.34
Ce 0.3370 0.1812 0.6740  1 Ce 2.75, 3 Si 2.91-2.96
Ce 0.6630 0.5072 0.3260  1 Ce 2.75, 3 Si 2.91-2.96
Ce 0.6630 0.8188 0.3260  1 Ce 2.75, 3 Si 2.91-2.96
Ce 0.3370 0.4928 0.6740  1 Ce 2.75, 3 Si 2.91-2.96
Si 0.2803 0.7803 0.5605  2 Li 2.64
Si 0.7197 0.2197 0.4395  2 Li 2.64
Si 0.5000 0.8706 0.0000  1 Si 2.28
Si 0.5000 0.1294 0.0000  1 Si 2.28


Li4CeSi2: optimized geometry, PBE-GGA.

Crystal system: orthorhombic

abc: 4.1600 4.0164 8.2638
angles: 104.06 90.00 90.00
With the nearest neighbours (Å) after each atom.
Element x y z (fractional)
Li 0.5000 0.8232 0.6464  2 Si 2.61, 4 Li 2.89
Li 0.0000 0.6732 0.3465  2 Si 2.63, 4 Li 2.89
Li 0.5000 0.1768 0.3536  2 Si 2.61, 4 Li 2.89
Li 0.0000 0.3268 0.6535  2 Si 2.63, 4 Li 2.89
Ce 0.0000 0.0000 0.0000  8 Si 3.12, 4 Li 3.43
Si 0.5000 0.5729 0.1457  1 Si 2.34, 2 Li 2.61
Si 0.5000 0.4271 0.8543  1 Si 2.34, 2 Li 2.61


LiCeSmSi: optimized geometry, PBE-GGA.

Crystal system: cubic

abc: 5.0885 5.0885 5.0885
angles: 60.00 60.00 60.00
With the nearest neighbours (Å) after each atom.
Element x y z (fractional)
Si 0.7500 0.7500 0.7500  4 Sm 3.12, 4 Ce 3.12
Ce 0.5000 0.5000 0.5000  4 Li 3.12, 4 Si 3.12
Sm 0.0000 0.0000 0.0000  4 Li 3.12, 4 Si 3.12
Li 0.2500 0.2500 0.2500  4 Sm 3.12, 4 Ce 3.12


Li2Ce2SmSi2: optimized geometry, PBE-GGA.

Crystal system: trigonal

abc: 4.3845 4.3845 9.1257
angles: 76.10 76.10 60.00
With the nearest neighbours (Å) after each atom.
Element x y z (fractional)
Li 0.5931 0.5931 0.2208  3 Si 2.53
Li 0.4069 0.4069 0.7792  3 Si 2.53
Ce 0.1412 0.1412 0.5765  3 Ce 2.87, 3 Li 3.09, 4 Si 3.14-3.20
Ce 0.8588 0.8588 0.4235  3 Ce 2.87, 3 Li 3.09, 4 Si 3.14-3.20
Sm 0.0000 0.0000 0.0000  6 Si 3.14, 6 Li 3.19
Si 0.7373 0.7373 0.7880  3 Li 2.53
Si 0.2626 0.2626 0.2120  3 Li 2.53


Li2Tb2CeSi2: optimized geometry, PBE-GGA.

Crystal system: trigonal

abc: 4.5001 4.5001 9.1655
angles: 75.79 75.79 60.00
With the nearest neighbours (Å) after each atom.
Element x y z (fractional)
Li 0.5960 0.5960 0.2120  3 Si 2.60
Li 0.4040 0.4040 0.7880  3 Si 2.60
Tb 0.1276 0.1276 0.6171  3 Si 2.98, 3 Li 3.00, 3 Tb 3.31
Tb 0.8724 0.8724 0.3829  3 Si 2.98, 3 Li 3.00, 3 Tb 3.31
Ce 0.0000 0.0000 0.0000  6 Li 3.20, 6 Si 3.22, 2 Tb 3.37
Si 0.7388 0.7388 0.7835  3 Li 2.60
Si 0.2612 0.2612 0.2165  3 Li 2.60


Number 1: M_tot 2.100 μB per formula unit, formation energy (no corrections) -0.057 eV per atom, calculated total energy -4.281 eV/atom. Number 2: M_tot 1.186 μB per formula unit, formation energy (no corrections) -0.557 eV per atom, calculated total energy -5.124 eV/atom. Number 3: M_tot 0.002 μB per formula unit, formation energy (no corrections) 0.064 eV per atom, calculated total energy -4.737 eV/atom. Number 4: M_tot 2.841 μB per formula unit, formation energy (no corrections) -0.162 eV per atom, calculated total energy -4.814 eV/atom. Number 5: M_tot 0.487 μB per formula unit, formation energy (no corrections) -0.308 eV per atom, calculated total energy -3.799 eV/atom. Number 6: M_tot 0.990 μB per formula unit, formation energy (no corrections) -0.256 eV per atom, calculated total energy -4.753 eV/atom. Number 7: M_tot 1.758 μB per formula unit, formation energy (no corrections) -0.393 eV per atom, calculated total energy -4.859 eV/atom. Number 8: M_tot 1.104 μB per formula unit, formation energy (no corrections) -0.351 eV per atom, calculated total energy -4.618 eV/atom.